# 1
Computed, not measured: a relaxed Ba2SrCd crystal at the PBE-GGA level of DFT.

Properties
Formation energy (eV/f.u.): -0.2
Symmetry: No. 166

a = 12.7536 Å, b = 12.7536 Å, c = 12.7536 Å
α = 19.73°, β = 19.73°, γ = 19.73°
Closest atoms and distances in Å follow each position.
Element x y z (fractional)
Ba  0.5150  0.5150  0.5150  3 Cd 3.60
Ba  0.9850  0.9850  0.9850  3 Cd 3.60
Cd  0.2500  0.2500  0.2500  6 Ba 3.60
Sr  0.7500  0.7500  0.7500  6 Sr 4.37, 6 Ba 4.47


# 2
Computed, not measured: a relaxed SiRuS3 crystal at the PBE-GGA level of DFT.

Properties
Raw formation energy (eV per formula unit): 3.13
Symmetry: No. 221

a = 4.6049 Å, b = 4.6049 Å, c = 4.6049 Å
α = 90.00°, β = 90.00°, γ = 90.00°
Closest atoms and distances in Å follow each position.
Element x y z (fractional)
Si  0.5000  0.5000  0.5000  12 S 3.26
S  0.0000  0.0000  0.5000  2 Ru 2.30
S  0.0000  0.5000  0.0000  2 Ru 2.30
S  0.5000  0.0000  0.0000  2 Ru 2.30
Ru  0.0000  0.0000  0.0000  6 S 2.30


Number 1: Fermi-level density of states 6.8 states/eV/f.u.. Number 2: Fermi-level density of states 8.3 states/eV/f.u..